A relaxed structure of CeMgSnRh. Source: Alexandria via LeMat-Bulk, functional PBE.

Structure (POSCAR):
```
CeMgSnRh
1.0
-2.951 -2.853 -2.805
1.828 -4.076 -2.183
-1.361 -4.504 1.607
Rh Ce Sn Mg
1 1 1 1
Direct
0.750 0.750 0.750
0.000 0.000 0.000
0.250 0.250 0.250
0.500 0.500 0.500
```

Output
- DOS(E_F) (states/eV/f.u.) = 5.58
- spin magnetization (μB/cell) = 0.367
- E_form (eV per atom) = -0.4164
- E_tot (eV/atom) = -5.1371

A relaxed structure of KSc2Au. Source: Alexandria via LeMat-Bulk, functional PBE.

Structure (POSCAR):
```
KSc2Au
1.0
-1.776 -2.928 -1.130
0.461 -2.145 4.833
-4.498 2.188 1.400
K Sc Au
1 2 1
Direct
0.000 0.500 0.500
0.500 0.500 0.000
0.000 0.000 0.000
0.500 0.000 0.500
```

Output
- excess energy over the best structure of this formula in the dataset (meV/atom) = 353.0
- DOS(E_F) (states/eV/f.u.) = 4.35
- spin magnetization (μB/cell) = 0.000
- E_form (eV per atom) = 0.2434
- E_tot (eV/atom) = -4.0160

A relaxed structure of Tl4Cd2Hg5. Source: Alexandria via LeMat-Bulk, functional PBE.

Structure (POSCAR):
```
Tl4Cd2Hg5
1.0
0.978 6.074 0.427
1.556 0.414 -9.452
-11.323 -1.515 2.933
Hg Tl Cd
10 8 4
Direct
0.924 0.524 0.849
0.750 0.000 0.000
0.250 0.000 0.000
0.576 0.675 0.151
0.424 0.325 0.849
0.782 0.001 0.565
0.282 0.564 0.565
0.218 0.999 0.435
0.718 0.436 0.435
0.076 0.476 0.151
0.064 0.799 0.128
0.436 0.671 0.872
0.936 0.201 0.872
0.643 0.046 0.285
0.357 0.954 0.715
0.143 0.239 0.285
0.564 0.329 0.128
0.857 0.761 0.715
0.549 0.299 0.599
0.049 0.299 0.599
0.451 0.701 0.401
0.951 0.701 0.401
```

Output
- excess energy over the best structure of this formula in the dataset (meV/atom) = 0.0
- DOS(E_F) (states/eV/f.u.) = 5.18
- spin magnetization (μB/cell) = 0.000
- E_form (eV per atom) = -0.0004
- E_tot (eV/atom) = -1.1644